Computed, not measured: a relaxed structure of Al2AsCl at the PBE level of DFT.

Cell and atoms, written as POSCAR:
```
Al2AsCl
1.0
3.049 0.000 0.000
0.000 4.844 0.000
0.000 0.000 5.483
Al As Cl
2 1 1
direct
0.000 0.000 0.000
0.500 0.500 0.471
0.500 0.500 0.970
0.000 0.000 0.455
```

Computed properties:
Polymorph energy (0 for the lowest one) (eV/f.u.): 0.85
Raw formation energy (eV per atom): -0.11
Theoretical density (g cm⁻³): 3.4